Material: NiAu
Method: DFT, GGA-PBE
State: optimized geometry

Output
As for the calculated formation energy: 11.2 kJ per mole of atoms. As for the density of states at the Fermi level: 3.5 states/eV/f.u.

Cell lengths 5.978, 6.906, 2.800 Å; angles 90.00, 90.00, 90.00 degrees
Space group Cmmm (No. 65)
Symmetry-distinct sites (fractional):
Ni (0.216, 0.000, 0.000)
Au (0.000, 0.276, 0.500)

---

Material: NiAu
Method: DFT, GGA-PBE
State: optimized geometry

Output
As for the calculated formation energy: 16.8 kJ per mole of atoms. As for the density of states at the Fermi level: 2.6 states/eV/f.u.

Cell lengths 2.7815, 2.7815, 8.9367 Å; angles 90.00, 90.00, 120.00 degrees
Space group P-3m1 (No. 164)
Symmetry-distinct sites (fractional):
Ni (0.3333, 0.6667, 0.3987)
Au (0.3333, 0.6667, 0.8509)

---

Material: Ni3Au
Method: DFT, GGA-PBE
State: optimized geometry

Output
As for the calculated formation energy: 20.3 kJ per mole of atoms. As for the density of states at the Fermi level: 8.8 states/eV/f.u.

Cell lengths 4.701, 4.701, 4.701 Å; angles 90.00, 90.00, 90.00 degrees
Space group Pm-3n (No. 223)
Symmetry-distinct sites (fractional):
Ni (0.000, 0.250, 0.500)
Au (0.000, 0.000, 0.000)

---

Material: Ni3Au
Method: DFT, GGA-PBE
State: optimized geometry

Output
As for the calculated formation energy: 13.9 kJ per mole of atoms. As for the density of states at the Fermi level: 7.9 states/eV/f.u.

Cell lengths 4.620, 8.483, 5.238 Å; angles 90.00, 90.00, 90.00 degrees
Space group Pnma (No. 62)
Symmetry-distinct sites (fractional):
Ni (0.075, 0.250, 0.124)
Ni (0.229, 0.506, 0.864)
Au (0.068, 0.250, 0.608)

---

Material: Ni4Au
Method: DFT, GGA-PBE
State: optimized geometry

Output
As for the calculated formation energy: 8.8 kJ per mole of atoms. As for the density of states at the Fermi level: 9.6 states/eV/f.u.

Cell lengths 5.814, 5.814, 3.659 Å; angles 90.00, 90.00, 90.00 degrees
Space group I4/m (No. 87)
Symmetry-distinct sites (fractional):
Ni (0.094, 0.691, 0.000)
Au (0.000, 0.000, 0.500)

---

Material: Ni3Au
Method: DFT, GGA-PBE
State: optimized geometry

Output
As for the calculated formation energy: 11.0 kJ per mole of atoms. As for the density of states at the Fermi level: 9.0 states/eV/f.u.

Cell lengths 4.289, 5.219, 4.553 Å; angles 90.00, 90.00, 90.00 degrees
Space group Pmmn (No. 59, origin choice 2)
Symmetry-distinct sites (fractional):
Ni (0.250, 0.002, 0.155)
Ni (0.250, 0.250, 0.687)
Au (0.250, 0.750, 0.655)

---

Material: NiAu5
Method: DFT, GGA-PBE
State: optimized geometry

Output
As for the calculated formation energy: 5.1 kJ per mole of atoms. As for the density of states at the Fermi level: 3.9 states/eV/f.u.

Cell lengths 10.211, 2.961, 7.206 Å; angles 90.00, 110.53, 90.00 degrees
Space group Cm (No. 8)
Symmetry-distinct sites (fractional):
Ni (0.000, 0.000, 0.000)
Au (0.150, 0.500, 0.842)
Au (0.165, 0.500, 0.312)
Au (0.333, 0.000, 0.687)
Au (0.345, 0.000, 0.149)
Au (0.497, 0.500, 0.496)

---

Material: NiAu8
Method: DFT, GGA-PBE
State: optimized geometry

Output
As for the calculated formation energy: 5.1 kJ per mole of atoms. As for the density of states at the Fermi level: 3.7 states/eV/f.u.

Cell lengths 10.332, 10.332, 2.959 Å; angles 90.00, 90.00, 90.00 degrees
Space group I4/mmm (No. 139)
Symmetry-distinct sites (fractional):
Ni (0.000, 0.000, 0.000)
Au (0.000, 0.332, 0.000)
Au (0.157, 0.157, 0.500)

---

Material: NiAu
Method: DFT, GGA-PBE
State: optimized geometry

Output
As for the calculated formation energy: 14.1 kJ per mole of atoms. As for the density of states at the Fermi level: 3.4 states/eV/f.u.

Cell lengths 2.785, 4.176, 5.210 Å; angles 90.00, 104.76, 90.00 degrees
Space group P2_1/m (No. 11)
Symmetry-distinct sites (fractional):
Ni (0.051, 0.250, 0.131)
Au (0.344, 0.250, 0.667)

---

Material: NiAu
Method: DFT, GGA-PBE
State: optimized geometry

Output
As for the calculated formation energy: 18.2 kJ per mole of atoms. As for the density of states at the Fermi level: 3.7 states/eV/f.u.

Cell lengths 2.790, 4.565, 4.643 Å; angles 90.00, 90.00, 90.00 degrees
Space group Pmmn (No. 59, origin choice 2)
Symmetry-distinct sites (fractional):
Ni (0.250, 0.250, 0.090)
Au (0.250, 0.750, 0.389)

---

Material: NiAu
Method: DFT, GGA-PBE
State: optimized geometry

Output
As for the calculated formation energy: 13.7 kJ per mole of atoms. As for the density of states at the Fermi level: 2.7 states/eV/f.u.

Cell lengths 9.278, 9.278, 2.797 Å; angles 90.00, 90.00, 90.00 degrees
Space group I4/mmm (No. 139)
Symmetry-distinct sites (fractional):
Ni (0.000, 0.350, 0.000)
Au (0.153, 0.153, 0.500)

---

Material: NiAu
Method: DFT, GGA-PBE
State: optimized geometry

Output
As for the calculated formation energy: 14.0 kJ per mole of atoms. As for the density of states at the Fermi level: 2.3 states/eV/f.u.

Cell lengths 7.6281, 7.6281, 3.7015 Å; angles 90.00, 90.00, 120.00 degrees
Space group P6_3/mmc (No. 194)
Symmetry-distinct sites (fractional):
Ni (0.1218, 0.5609, 0.2500)
Au (0.1668, 0.3335, 0.7500)

---

Material: NiAu
Method: DFT, GGA-PBE
State: optimized geometry

Output
As for the calculated formation energy: 81.0 kJ per mole of atoms. As for the density of states at the Fermi level: 2.7 states/eV/f.u.

Cell lengths 7.549, 7.549, 7.549 Å; angles 90.00, 90.00, 90.00 degrees
Space group I-43m (No. 217)
Symmetry-distinct sites (fractional):
Ni (0.112, 0.112, 0.112)
Au (0.202, 0.202, 0.798)

---

Material: NiAu
Method: DFT, GGA-PBE
State: optimized geometry

Output
As for the calculated formation energy: 16.4 kJ per mole of atoms. As for the density of states at the Fermi level: 2.5 states/eV/f.u.

Cell lengths 2.7737, 2.7737, 26.8023 Å; angles 90.00, 90.00, 120.00 degrees
Space group R-3m (No. 166, hexagonal axes)
Symmetry-distinct sites (fractional):
Ni (0.0000, 0.0000, 0.1326)
Au (0.0000, 0.0000, 0.3830)

---

Material: Ni3Au
Method: DFT, GGA-PBE
State: optimized geometry

Output
As for the calculated formation energy: 16.9 kJ per mole of atoms. As for the density of states at the Fermi level: 5.7 states/eV/f.u.

Cell lengths 5.897, 5.897, 5.897 Å; angles 90.00, 90.00, 90.00 degrees
Space group Fm-3m (No. 225)
Symmetry-distinct sites (fractional):
Ni (0.000, 0.000, 0.000)
Ni (0.250, 0.250, 0.250)
Au (0.000, 0.000, 0.500)

---

Material: NiAu7
Method: DFT, GGA-PBE
State: optimized geometry

Output
As for the calculated formation energy: 7.1 kJ per mole of atoms. As for the density of states at the Fermi level: 3.7 states/eV/f.u.

Cell lengths 8.220, 8.220, 8.220 Å; angles 90.00, 90.00, 90.00 degrees
Space group Fm-3m (No. 225)
Symmetry-distinct sites (fractional):
Ni (0.000, 0.000, 0.000)
Au (0.000, 0.000, 0.500)
Au (0.000, 0.250, 0.250)

---

Material: Ni3Au
Method: DFT, GGA-PBE
State: optimized geometry

Output
As for the calculated formation energy: 9.7 kJ per mole of atoms. As for the density of states at the Fermi level: 7.6 states/eV/f.u.

Cell lengths 3.714, 3.714, 7.379 Å; angles 90.00, 90.00, 90.00 degrees
Space group I4/mmm (No. 139)
Symmetry-distinct sites (fractional):
Ni (0.000, 0.000, 0.000)
Ni (0.000, 0.500, 0.250)
Au (0.000, 0.000, 0.500)

---

Material: Ni3Au2
Method: DFT, GGA-PBE
State: optimized geometry

Output
As for the calculated formation energy: 18.6 kJ per mole of atoms. As for the density of states at the Fermi level: 7.2 states/eV/f.u.

Cell lengths 2.7583, 2.7583, 32.0331 Å; angles 90.00, 90.00, 120.00 degrees
Space group R-3m (No. 166, hexagonal axes)
Symmetry-distinct sites (fractional):
Ni (0.0000, 0.0000, 0.0000)
Ni (0.0000, 0.0000, 0.1953)
Au (0.0000, 0.0000, 0.4017)

---

Material: NpNi4Au
Method: DFT, GGA-PBE
State: optimized geometry

Output
As for the calculated formation energy: -17.7 kJ per mole of atoms. As for the density of states at the Fermi level: 13.2 states/eV/f.u.

Cell lengths 6.975, 6.975, 6.975 Å; angles 90.00, 90.00, 90.00 degrees
Space group F-43m (No. 216)
Symmetry-distinct sites (fractional):
Np (0.000, 0.000, 0.000)
Ni (0.125, 0.125, 0.625)
Au (0.250, 0.250, 0.250)

---

Material: NpNi6Au2
Method: DFT, GGA-PBE
State: optimized geometry

Output
As for the calculated formation energy: 25.0 kJ per mole of atoms. As for the density of states at the Fermi level: 9.2 states/eV/f.u.

Cell lengths 8.045, 8.045, 8.045 Å; angles 90.00, 90.00, 90.00 degrees
Space group Fm-3m (No. 225)
Symmetry-distinct sites (fractional):
Np (0.000, 0.000, 0.000)
Ni (0.000, 0.000, 0.286)
Au (0.250, 0.250, 0.250)

---

Material: NpNi9Au2
Method: DFT, GGA-PBE
State: optimized geometry

Output
As for the calculated formation energy: -3.4 kJ per mole of atoms. As for the density of states at the Fermi level: 20.9 states/eV/f.u.

Cell lengths 4.8539, 4.8539, 23.4838 Å; angles 90.00, 90.00, 120.00 degrees
Space group R-3m (No. 166, hexagonal axes)
Symmetry-distinct sites (fractional):
Np (0.0000, 0.0000, 0.0000)
Ni (0.0000, 0.0000, 0.3342)
Ni (0.0000, 0.0000, 0.5000)
Ni (0.0028, 0.5014, 0.9161)
Au (0.0000, 0.0000, 0.1435)

---

Material: NpNi2Au
Method: DFT, GGA-PBE
State: optimized geometry

Output
As for the calculated formation energy: 7.9 kJ per mole of atoms. As for the density of states at the Fermi level: 7.5 states/eV/f.u.

Cell lengths 3.049, 3.049, 6.715 Å; angles 90.00, 90.00, 90.00 degrees
Space group P4/mmm (No. 123)
Symmetry-distinct sites (fractional):
Np (0.000, 0.000, 0.000)
Ni (0.500, 0.500, 0.260)
Au (0.000, 0.000, 0.500)

---

Material: NpNiAu11
Method: DFT, GGA-PBE
State: optimized geometry

Output
As for the calculated formation energy: -2.5 kJ per mole of atoms. As for the density of states at the Fermi level: 11.2 states/eV/f.u.

Cell lengths 5.536, 13.643, 7.126 Å; angles 90.00, 112.30, 90.00 degrees
Space group C2/m (No. 12)
Symmetry-distinct sites (fractional):
Np (0.000, 0.000, 0.000)
Ni (0.000, 0.000, 0.500)
Au (0.000, 0.500, 0.500)
Au (0.120, 0.396, 0.216)
Au (0.161, 0.167, 0.355)
Au (0.250, 0.250, 0.000)

---

Material: Np3Ni8Au
Method: DFT, GGA-PBE
State: optimized geometry

Output
As for the calculated formation energy: -16.4 kJ per mole of atoms. As for the density of states at the Fermi level: 26.3 states/eV/f.u.

Cell lengths 4.9609, 4.9609, 24.3180 Å; angles 90.00, 90.00, 120.00 degrees
Space group R3m (No. 160, hexagonal axes)
Symmetry-distinct sites (fractional):
Np (0.0000, 0.0000, 0.0000)
Np (0.0000, 0.0000, 0.1248)
Np (0.0000, 0.0000, 0.5008)
Ni (0.0000, 0.0000, 0.3128)
Ni (0.0000, 0.0000, 0.8129)
Ni (0.0000, 0.5000, 0.5635)
Ni (0.1672, 0.3343, 0.3953)
Au (0.0000, 0.0000, 0.6256)